The following is a PBE calculation of an optimized crystal structure of CsK2TaBr8, from Alexandria via LeMat-Bulk.

Geometry as POSCAR:
```
CsK2TaBr8
1.0
6.315 -0.316 0.371
-0.113 8.457 0.998
1.018 1.540 10.531
K Br Cs Ta
2 8 1 1
direct
0.413 0.379 0.711
0.587 0.621 0.289
0.224 0.234 0.040
0.479 0.744 0.543
0.127 0.797 0.191
0.873 0.203 0.809
0.305 0.953 0.840
0.695 0.047 0.160
0.521 0.256 0.457
0.776 0.766 0.960
0.000 0.000 0.500
0.000 0.000 0.000
```

Summary:
calculated volume	548.8	Å³/cell
space group	P-1, No. 2
ΔE_f (raw)	-15.6	eV per formula unit
DFT total energy	-3.658	eV per atom